VASP calculation (PBE) on BaCa2Er after structural relaxation.

Values from the calculation:
Calculated volume in Å³ per cell: 502.41
Energy in eV per atom: -2.47
Energy relative to the elements in eV/atom: 0.1550

```
data_BaCa2Er
_chemical_formula_sum 'Ba3 Ca6 Er3'
_symmetry_space_group_name_H-M 'R 3 m'
_symmetry_Int_Tables_number 160
_symmetry_space_group_name_Hall 'R 3 -2"'
_cell_length_a 3.8769
_cell_length_b 3.8769
_cell_length_c 38.5963
_cell_angle_alpha 90.00
_cell_angle_beta 90.00
_cell_angle_gamma 120.00
loop_
_atom_site_label
_atom_site_type_symbol
_atom_site_fract_x
_atom_site_fract_y
_atom_site_fract_z
Ba1 Ba 0.0000 0.0000 0.0000
Ca1 Ca 0.0000 0.0000 0.5770
Ca2 Ca 0.0000 0.0000 0.7572
Er1 Er 0.0000 0.0000 0.1671
```